Entry 1:
PmGdLuTl | GGA-PBE | relaxed

Results
**Total moment**: 2.0827 μB/atom
**DOS at the Fermi energy**: 20.311 states/eV per cell
**Energy of formation from the pure elements**: -82 meV/atom
**Volume**: 469.7 Å³ per cell

abc: 7.7731 7.7731 7.7731
angles: 90.00 90.00 90.00
With the nearest neighbours (Å) after each atom.
Space group F-43m (No. 216)
Unique sites:
Pm1 0.0000 0.0000 0.0000  4 Tl 3.37, 4 Lu 3.37
Gd1 0.0000 0.0000 0.5000  4 Tl 3.37, 4 Lu 3.37
Lu1 0.2500 0.2500 0.2500  4 Gd 3.37, 4 Pm 3.37
Tl1 0.2500 0.2500 0.7500  4 Gd 3.37, 4 Pm 3.37


Entry 2:
PmGdTmLu | GGA-PBE | relaxed

Results
**Total moment**: 1.8517 μB/atom
**DOS at the Fermi energy**: 26.964 states/eV per cell
**Energy of formation from the pure elements**: 92 meV/atom
**Volume**: 508.9 Å³ per cell

abc: 7.9838 7.9838 7.9838
angles: 90.00 90.00 90.00
With the nearest neighbours (Å) after each atom.
Space group F-43m (No. 216)
Unique sites:
Pm1 0.0000 0.0000 0.0000  4 Tm 3.46, 4 Lu 3.46
Gd1 0.0000 0.0000 0.5000  4 Lu 3.46, 4 Tm 3.46
Tm1 0.2500 0.2500 0.2500  4 Gd 3.46, 4 Pm 3.46
Lu1 0.2500 0.2500 0.7500  4 Gd 3.46, 4 Pm 3.46